Record 1
The following is a DFT calculation (PBE) of a relaxed LiLa2Ta crystal.

Cell lengths 3.4407, 3.4407, 8.6094 Å; angles 90.00, 90.00, 90.00 degrees
With the nearest neighbours (Å) after each atom.
Atoms (fractional coordinates):
Li (0.0000, 0.0000, 0.0000)  4 Ta 2.78
La (0.0000, 0.0000, 0.4124)  4 Ta 3.28, 4 La 3.44, 1 Li 3.55
La (0.5000, 0.5000, 0.7675)  4 Li 3.15, 1 Ta 3.35, 4 La 3.44
Ta (0.5000, 0.5000, 0.1562)  4 Li 2.78

Values from the calculation:
Excess energy over the best structure of this formula in the dataset in meV per atom: 150
Density in Mg/m³: 7.59
Magnetization in μB per atom: 0.000
Energy of formation from the pure elements in eV per atom: 0.45
Volume in Å³/atom: 25.48


Record 2
The following is a DFT calculation (PBE) of a relaxed LiLa2Ta crystal.

Cell lengths 3.3124, 5.3091, 5.7046 Å; angles 90.00, 90.00, 90.00 degrees
With the nearest neighbours (Å) after each atom.
Atoms (fractional coordinates):
Li (0.0000, 0.0000, 0.0000)  4 La 3.13, 4 Ta 3.30, 2 Li 3.31
La (0.0000, 0.5000, 0.5000)  4 Ta 3.13, 6 La 3.30-3.31
La (0.5000, 0.5000, 0.0000)  4 Li 3.13, 6 La 3.30-3.31
Ta (0.5000, 0.0000, 0.5000)  4 La 3.13, 4 Li 3.30, 2 Ta 3.31

Values from the calculation:
Excess energy over the best structure of this formula in the dataset in meV per atom: 314
Density in Mg/m³: 7.71
Magnetization in μB per atom: 0.000
Energy of formation from the pure elements in eV per atom: 0.62
Volume in Å³/atom: 25.08


Record 3
The following is a DFT calculation (PBE) of a relaxed LiLa2Ta crystal.

Cell lengths 5.8514, 5.8514, 5.8514 Å; angles 134.15, 134.15, 66.86 degrees
With the nearest neighbours (Å) after each atom.
Atoms (fractional coordinates):
Li (0.0000, 0.0000, 0.0000)  8 La 3.22-3.34, 4 Ta 3.34
La (0.5000, 0.5000, 0.0000)  4 Li 3.22, 4 Ta 3.34, 4 La 3.34
La (0.7500, 0.2500, 0.5000)  4 Ta 3.22, 4 Li 3.34, 4 La 3.34
Ta (0.2500, 0.7500, 0.5000)  8 La 3.22-3.34, 4 Li 3.34

Values from the calculation:
Excess energy over the best structure of this formula in the dataset in meV per atom: 203
Density in Mg/m³: 7.62
Magnetization in μB per atom: 0.000
Energy of formation from the pure elements in eV per atom: 0.51
Volume in Å³/atom: 25.37